{
  "formula": "LiTeRhBr2",
  "functional": "PBE",
  "state": "optimized geometry",
  "cell": [[5.867, 0.000, 0.000], [0.000, 5.867, 0.000], [0.000, 0.000, 5.004]],
  "species": ["Li", "Te", "Rh", "Br", "Br"],
  "frac_coords": [[0.000, 0.000, 0.000], [0.000, 0.000, 0.500], [0.500, 0.500, 0.000], [0.000, 0.500, 0.500], [0.500, 0.000, 0.500]],
  "space_group": "No. 123",
  "n_ef_per_ev_cell": 9.62,
  "total_energy_ev_per_cell": -12.838,
  "magnetic_moment_mub_per_cell": 1.53
}



{
  "formula": "LiTe2RhBr",
  "functional": "PBE",
  "state": "optimized geometry",
  "cell": [[5.762, 0.000, 0.000], [0.000, 5.762, 0.000], [0.000, 0.000, 4.659]],
  "species": ["Li", "Te", "Te", "Rh", "Br"],
  "frac_coords": [[0.000, 0.000, 0.000], [0.000, 0.500, 0.500], [0.500, 0.000, 0.500], [0.500, 0.500, 0.000], [0.500, 0.500, 0.500]],
  "polymorph_energy_mev_per_atom": 43,
  "space_group": "No. 123",
  "n_ef_per_ev_cell": 7.03,
  "total_energy_ev_per_cell": -14.039,
  "magnetic_moment_mub_per_cell": 0.86
}



{
  "formula": "Li2ZrRhBr",
  "functional": "PBE",
  "state": "optimized geometry",
  "cell": [[5.315, 0.000, 0.000], [0.000, 5.315, 0.000], [0.000, 0.000, 4.978]],
  "species": ["Li", "Li", "Zr", "Rh", "Br"],
  "frac_coords": [[0.000, 0.500, 0.000], [0.500, 0.000, 0.000], [0.000, 0.000, 0.000], [0.500, 0.500, 0.500], [0.000, 0.000, 0.500]],
  "space_group": "No. 123",
  "n_ef_per_ev_cell": 8.07,
  "total_energy_ev_per_cell": -15.855,
  "magnetic_moment_mub_per_cell": 2.82
}



{
  "formula": "Li2Ru2Br",
  "functional": "PBE",
  "state": "optimized geometry",
  "cell": [[6.140, 0.000, 0.000], [0.000, 6.140, 0.000], [0.000, 0.000, 3.587]],
  "species": ["Li", "Li", "Li", "Li", "Ru", "Ru", "Ru", "Ru", "Br", "Br"],
  "frac_coords": [[0.128, 0.372, 0.000], [0.372, 0.872, 0.000], [0.628, 0.128, 0.000], [0.872, 0.628, 0.000], [0.172, 0.672, 0.500], [0.328, 0.172, 0.500], [0.672, 0.828, 0.500], [0.828, 0.328, 0.500], [0.000, 0.000, 0.000], [0.500, 0.500, 0.000]],
  "polymorph_energy_mev_per_atom": 733,
  "space_group": "No. 127",
  "n_ef_per_ev_cell": 7.64,
  "total_energy_ev_per_cell": -41.362,
  "magnetic_moment_mub_per_cell": 0.00
}



{
  "formula": "LiRu4Br",
  "functional": "PBE",
  "state": "optimized geometry",
  "cell": [[0.000, 3.679, 3.679], [3.679, 0.000, 3.679], [3.679, 3.679, 0.000]],
  "species": ["Li", "Ru", "Ru", "Ru", "Ru", "Br"],
  "frac_coords": [[0.000, 0.000, 0.000], [0.126, 0.625, 0.625], [0.625, 0.126, 0.625], [0.625, 0.625, 0.126], [0.625, 0.625, 0.625], [0.250, 0.250, 0.250]],
  "space_group": "No. 216",
  "n_ef_per_ev_cell": 7.04,
  "total_energy_ev_per_cell": -35.422,
  "magnetic_moment_mub_per_cell": 3.37
}



{
  "formula": "LiRuBr3",
  "functional": "PBE",
  "state": "optimized geometry",
  "cell": [[5.161, 0.000, 0.000], [0.000, 5.161, 0.000], [0.000, 0.000, 5.161]],
  "species": ["Li", "Ru", "Br", "Br", "Br"],
  "frac_coords": [[0.000, 0.000, 0.000], [0.500, 0.500, 0.500], [0.000, 0.500, 0.500], [0.500, 0.000, 0.500], [0.500, 0.500, 0.000]],
  "polymorph_energy_mev_per_atom": 0,
  "space_group": "No. 221",
  "n_ef_per_ev_cell": 7.46,
  "total_energy_ev_per_cell": -17.441,
  "magnetic_moment_mub_per_cell": 1.57
}



{
  "formula": "Li2Ru2Br",
  "functional": "PBE",
  "state": "optimized geometry",
  "cell": [[-1.717, 1.717, 7.868], [1.717, -1.717, 7.868], [1.717, 1.717, -7.868]],
  "species": ["Li", "Li", "Ru", "Ru", "Br"],
  "frac_coords": [[0.098, 0.098, 0.000], [0.902, 0.902, 0.000], [0.250, 0.750, 0.500], [0.750, 0.250, 0.500], [0.500, 0.500, 0.000]],
  "polymorph_energy_mev_per_atom": 0,
  "space_group": "No. 139",
  "n_ef_per_ev_cell": 2.57,
  "total_energy_ev_per_cell": -24.345,
  "magnetic_moment_mub_per_cell": 0.00
}



{
  "formula": "Li4RuBr",
  "functional": "PBE",
  "state": "optimized geometry",
  "cell": [[0.000, 3.556, 3.556], [3.556, 0.000, 3.556], [3.556, 3.556, 0.000]],
  "species": ["Li", "Li", "Li", "Li", "Ru", "Br"],
  "frac_coords": [[0.121, 0.121, 0.121], [0.121, 0.121, 0.636], [0.121, 0.636, 0.121], [0.636, 0.121, 0.121], [0.750, 0.750, 0.750], [0.500, 0.500, 0.500]],
  "space_group": "No. 216",
  "n_ef_per_ev_cell": 5.44,
  "total_energy_ev_per_cell": -16.686,
  "magnetic_moment_mub_per_cell": 0.27
}



{
  "formula": "LiRuBr4",
  "functional": "PBE",
  "state": "optimized geometry",
  "cell": [[6.627, -1.893, 0.000], [6.627, 1.893, 0.000], [-1.026, 0.000, 6.556]],
  "species": ["Li", "Ru", "Br", "Br", "Br", "Br"],
  "frac_coords": [[0.000, 0.000, 0.000], [0.500, 0.500, 0.500], [0.108, 0.108, 0.391], [0.391, 0.391, 0.154], [0.609, 0.609, 0.846], [0.892, 0.892, 0.609]],
  "polymorph_energy_mev_per_atom": 0,
  "space_group": "No. 12",
  "n_ef_per_ev_cell": 4.65,
  "total_energy_ev_per_cell": -21.832,
  "magnetic_moment_mub_per_cell": 1.01
}



{
  "formula": "Li2RuBr6",
  "functional": "PBE",
  "state": "optimized geometry",
  "cell": [[6.596, 0.000, 0.000], [0.000, 7.168, 0.000], [-5.988, 0.000, 10.451]],
  "species": ["Li", "Li", "Li", "Li", "Ru", "Ru", "Br", "Br", "Br", "Br", "Br", "Br", "Br", "Br", "Br", "Br", "Br", "Br"],
  "frac_coords": [[0.131, 0.138, 0.150], [0.131, 0.362, 0.650], [0.869, 0.638, 0.350], [0.869, 0.862, 0.850], [0.500, 0.000, 0.000], [0.500, 0.500, 0.500], [0.145, 0.038, 0.779], [0.145, 0.462, 0.279], [0.254, 0.678, 0.571], [0.254, 0.822, 0.071], [0.399, 0.204, 0.567], [0.399, 0.296, 0.067], [0.601, 0.704, 0.933], [0.601, 0.796, 0.433], [0.746, 0.178, 0.929], [0.746, 0.322, 0.429], [0.855, 0.538, 0.721], [0.855, 0.962, 0.221]],
  "polymorph_energy_mev_per_atom": 0,
  "space_group": "No. 14",
  "n_ef_per_ev_cell": 9.28,
  "total_energy_ev_per_cell": -60.268,
  "magnetic_moment_mub_per_cell": 4.01
}



{
  "formula": "Li2RuBr6",
  "functional": "PBE",
  "state": "optimized geometry",
  "cell": [[3.389, 1.957, 5.930], [-3.389, 1.957, 5.930], [0.000, -3.913, 5.930]],
  "species": ["Li", "Li", "Ru", "Br", "Br", "Br", "Br", "Br", "Br"],
  "frac_coords": [[0.187, 0.187, 0.187], [0.813, 0.813, 0.813], [0.000, 0.000, 0.000], [0.107, 0.769, 0.370], [0.231, 0.630, 0.893], [0.370, 0.107, 0.769], [0.630, 0.893, 0.231], [0.769, 0.370, 0.107], [0.893, 0.231, 0.630]],
  "polymorph_energy_mev_per_atom": 11,
  "space_group": "No. 148",
  "n_ef_per_ev_cell": 4.94,
  "total_energy_ev_per_cell": -30.036,
  "magnetic_moment_mub_per_cell": 2.01
}



{
  "formula": "LiRuBr4",
  "functional": "PBE",
  "state": "optimized geometry",
  "cell": [[0.000, 4.475, 4.475], [4.475, 0.000, 4.475], [4.475, 4.475, 0.000]],
  "species": ["Li", "Ru", "Br", "Br", "Br", "Br"],
  "frac_coords": [[0.000, 0.000, 0.000], [0.750, 0.750, 0.750], [0.375, 0.375, 0.375], [0.375, 0.375, 0.874], [0.375, 0.874, 0.375], [0.874, 0.375, 0.375]],
  "polymorph_energy_mev_per_atom": 1516,
  "space_group": "No. 216",
  "n_ef_per_ev_cell": 12.32,
  "total_energy_ev_per_cell": -12.738,
  "magnetic_moment_mub_per_cell": 1.81
}